Record 1
ZrRe2, relaxed, DFT PBE; electronic total energy = -10.933 eV per atom; symmetry = Pnnm (58)
1.0
2.767 0.000 0.000
0.000 7.860 0.000
0.000 0.000 4.659
Zr Re
2 4
Cartesian
0.000 0.000 0.000
1.384 3.930 2.329
0.531 2.693 0.000
0.853 6.624 2.329
1.914 1.237 2.329
2.237 5.167 0.000



Record 2
Zr3Re, relaxed, DFT PBE; electronic total energy = -9.412 eV per atom; symmetry = R-3m (166)
1.0
1.605 0.927 9.412
-1.605 0.927 9.412
0.000 -1.853 9.412
Zr Re
3 1
Cartesian
0.000 0.000 0.000
0.000 0.000 6.777
0.000 0.000 21.459
0.000 0.000 14.118



Record 3
ZrRe, relaxed, DFT PBE; electronic total energy = -10.368 eV per atom; symmetry = Pmmn (59)
1.0
5.416 0.000 0.000
0.000 9.417 0.000
0.000 0.000 4.813
Zr Re
6 6
Cartesian
1.354 0.780 0.036
1.354 3.928 0.036
1.354 7.062 3.590
4.062 2.354 1.223
4.062 5.489 4.777
4.062 8.636 4.777
0.000 0.000 2.406
0.000 4.708 2.406
1.354 2.354 2.478
2.708 0.000 2.406
2.708 4.708 2.406
4.062 7.062 2.335



Record 4
Zr3Re, relaxed, DFT PBE; electronic total energy = -9.581 eV per atom; symmetry = Cmcm (63)
1.0
3.640 -4.915 0.000
3.640 4.915 0.000
0.000 0.000 4.569
Zr Re
6 2
Cartesian
3.640 3.841 3.427
2.029 1.227 3.427
2.029 -1.227 1.142
5.251 1.227 3.427
5.251 -1.227 1.142
3.640 -3.841 1.142
3.640 1.242 1.142
3.640 -1.242 3.427



Record 5
Zr3Re, relaxed, DFT PBE; electronic total energy = -9.503 eV per atom; symmetry = Cmmm (65)
1.0
1.654 -2.529 0.000
1.654 2.529 0.000
0.000 0.000 9.814
Zr Re
3 1
Cartesian
0.000 0.000 0.000
1.654 0.000 2.748
1.654 0.000 7.066
0.000 0.000 4.907



Record 6
Zr2Re, relaxed, DFT PBE; electronic total energy = -9.764 eV per atom; symmetry = Fm-3m (225)
1.0
0.000 3.233 3.233
3.233 0.000 3.233
3.233 3.233 0.000
Zr Re
2 1
Cartesian
1.616 1.616 1.616
4.849 4.849 4.849
0.000 0.000 0.000



Record 7
ZrRe3, relaxed, DFT PBE; energy above the most stable polymorph in this dataset = 0.65 eV per formula unit; electronic total energy = -11.322 eV per atom; symmetry = Pmmn (59)
1.0
4.615 0.000 0.000
0.000 5.435 0.000
0.000 0.000 5.372
Zr Re
2 6
Cartesian
1.154 1.359 0.603
3.461 4.076 4.769
1.154 2.835 3.412
1.154 4.076 0.993
1.154 5.317 3.412
3.461 0.118 1.960
3.461 1.359 4.379
3.461 2.599 1.960



Record 8
Zr2Re, relaxed, DFT PBE; electronic total energy = -9.651 eV per atom; symmetry = P4/mmm (123)
1.0
4.610 0.000 0.000
0.000 4.610 0.000
0.000 0.000 3.197
Zr Re
2 1
Cartesian
0.000 2.305 0.000
2.305 0.000 0.000
0.000 0.000 1.599



Record 9
ZrRe, relaxed, DFT PBE; electronic total energy = -9.124 eV per atom; symmetry = P6_3/mmc (194)
1.0
4.571 0.000 0.000
-2.286 3.959 0.000
0.000 0.000 5.496
Zr Re
2 2
Cartesian
0.000 2.639 1.374
2.286 1.320 4.122
0.000 2.639 4.122
2.286 1.320 1.374



Record 10
ZrRe2, relaxed, DFT PBE; electronic total energy = -11.151 eV per atom; symmetry = P-3m1 (164)
1.0
4.538 0.000 0.000
-2.269 3.930 0.000
0.000 0.000 2.825
Zr Re
1 2
Cartesian
0.000 0.000 0.000
0.000 2.620 1.837
2.269 1.310 0.988



Record 11
ZrRe3, relaxed, DFT PBE; energy above the most stable polymorph in this dataset = 0.28 eV per formula unit; electronic total energy = -11.415 eV per atom; symmetry = P2/m (10)
1.0
2.778 0.000 0.000
0.000 4.494 0.000
-0.966 0.000 5.234
Zr Re
1 3
Cartesian
0.000 0.000 0.000
-0.041 2.247 3.864
0.906 0.000 2.617
1.852 2.247 1.369



Record 12
ZrRe, relaxed, DFT PBE; electronic total energy = -10.059 eV per atom; symmetry = Fddd (70)
1.0
0.000 4.330 5.279
3.500 0.000 5.279
3.500 4.330 0.000
Zr Re
4 4
Cartesian
2.625 0.604 3.959
4.375 2.769 6.598
2.625 5.890 3.959
4.375 8.055 6.598
3.850 3.247 3.959
5.600 5.412 6.598
1.399 3.247 3.959
3.149 5.412 6.598



The ΔH_f (0 K) results, record by record, are as follows: 215; 111; 130; -57; 20; 84; 151; 197; 1375; -3; 58; 439 meV/atom.